[1]
Entry from Alexandria via LeMat-Bulk: a relaxed RbCo2C crystal (GGA-PBE).

Unit cell a=5.9145 b=5.9145 c=5.9145 alpha=60.00 beta=60.00 gamma=60.00
Closest atoms and distances in Å follow each position.
Positions (direct):
Rb 0.1250 0.1250 0.1250  12 Co 3.47, 4 Rb 3.62, 4 C 3.62
Rb 0.8750 0.8750 0.8750  12 Co 3.47, 4 C 3.62, 4 Rb 3.62
Co 0.0000 0.5000 0.5000  2 C 1.81
Co 0.5000 0.0000 0.5000  2 C 1.81
Co 0.5000 0.5000 0.0000  2 C 1.81
Co 0.5000 0.5000 0.5000  2 C 1.81
C 0.3750 0.3750 0.3750  4 Co 1.81
C 0.6250 0.6250 0.6250  4 Co 1.81

Properties
Its density of states at the Fermi level is 1.629 states/eV/atom. As for the size of the total moment: 1.78 μB per cell. The calculation puts the calculated formation energy at 0.73 eV per atom.

[2]
Entry from Alexandria via LeMat-Bulk: a relaxed CePm2HgC crystal (GGA-PBE).

Unit cell a=5.1100 b=5.1100 c=4.8635 alpha=90.00 beta=90.00 gamma=90.00
Closest atoms and distances in Å follow each position.
Positions (direct):
Ce 0.0000 0.0000 0.0000  2 C 2.43
Pm 0.0000 0.5000 0.5000  2 C 2.56
Pm 0.5000 0.0000 0.5000  2 C 2.56
Hg 0.5000 0.5000 0.0000  8 Pm 3.53, 4 Ce 3.61
C 0.0000 0.0000 0.5000  2 Ce 2.43, 4 Pm 2.56

Properties
Its density of states at the Fermi level is 1.539 states/eV/atom. As for the size of the total moment: 0.21 μB per cell. The calculation puts the calculated formation energy at -0.24 eV per atom.

[3]
Entry from Alexandria via LeMat-Bulk: a relaxed LaY2Mg crystal (GGA-PBE).

Unit cell a=5.9801 b=5.9801 c=3.6396 alpha=90.00 beta=90.00 gamma=106.33
Closest atoms and distances in Å follow each position.
Positions (direct):
La 0.0000 0.0000 0.0000  8 Y 3.50, 2 Mg 3.59, 2 La 3.64
Y 0.0000 0.5000 0.5000  4 La 3.50, 4 Mg 3.50, 4 Y 3.59-3.64
Y 0.5000 0.0000 0.5000  4 La 3.50, 4 Mg 3.50, 4 Y 3.59-3.64
Mg 0.5000 0.5000 0.0000  8 Y 3.50, 2 La 3.59, 2 Mg 3.64

Properties
Its density of states at the Fermi level is 1.327 states/eV/atom. As for the size of the total moment: 0.00 μB per cell. The calculation puts the calculated formation energy at 0.04 eV per atom.

[4]
Entry from Alexandria via LeMat-Bulk: a relaxed NaSr2CaH crystal (GGA-PBE).

Unit cell a=5.4708 b=5.4708 c=5.8224 alpha=90.00 beta=90.00 gamma=90.00
Closest atoms and distances in Å follow each position.
Positions (direct):
Na 0.0000 0.0000 0.0000  2 H 2.91
Sr 0.0000 0.5000 0.5000  2 H 2.74
Sr 0.5000 0.0000 0.5000  2 H 2.74
Ca 0.5000 0.5000 0.0000  4 Na 3.87, 8 Sr 3.99
H 0.0000 0.0000 0.5000  4 Sr 2.74, 2 Na 2.91

Properties
Its density of states at the Fermi level is 0.545 states/eV/atom. As for the size of the total moment: 0.00 μB per cell. For the energy relative to the lowest polymorph listed for this composition, the calculation gives 25 meV per atom.

[5]
Entry from Alexandria via LeMat-Bulk: a relaxed AlB2P crystal (GGA-PBE).

Unit cell a=6.8894 b=6.8894 c=4.8660 alpha=92.94 beta=92.94 gamma=25.05
Closest atoms and distances in Å follow each position.
Positions (direct):
Al 0.0000 0.0000 0.0000  7 B 2.29-2.54, 1 P 2.46
Al 0.1892 0.1892 0.7029  4 B 2.40-2.59, 4 P 2.43-2.50
B 0.4765 0.4765 0.3479  4 B 1.70-1.75
B 0.5503 0.5503 0.6424  2 B 1.70-1.76
B 0.6058 0.6058 0.3218  2 B 1.75-1.76, 2 P 1.93
B 0.9316 0.9316 0.4531  2 B 1.70
P 0.1839 0.1839 0.2024  2 B 1.93
P 0.8383 0.8383 0.7385  1 B 1.92

Properties
Its density of states at the Fermi level is 0.088 states/eV/atom. As for the size of the total moment: 0.00 μB per cell. The calculation puts the calculated formation energy at 0.11 eV per atom. For the energy relative to the lowest polymorph listed for this composition, the calculation gives 96 meV per atom.

[6]
Entry from Alexandria via LeMat-Bulk: a relaxed TmMn9P4 crystal (GGA-PBE).

Unit cell a=7.9164 b=7.9164 c=7.9164 alpha=122.78 beta=122.78 gamma=85.26
Closest atoms and distances in Å follow each position.
Positions (direct):
Tm 0.2500 0.2500 0.0000  16 Mn 3.08-3.28, 8 P 3.16
Tm 0.7500 0.7500 0.0000  16 Mn 3.08-3.28, 8 P 3.16
Mn 0.0000 0.5000 0.5000  4 P 2.33, 8 Mn 2.42-2.51
Mn 0.0444 0.5444 0.2340  4 P 2.24-2.33, 1 Mn 2.51
Mn 0.0667 0.8115 0.8782  2 Mn 2.14
Mn 0.1885 0.0667 0.2551  2 Mn 2.14
Mn 0.1896 0.9556 0.5000  4 P 2.24-2.33, 1 Mn 2.51
Mn 0.3104 0.8104 0.7660  4 P 2.24-2.33, 1 Mn 2.51
Mn 0.3115 0.5667 0.8782  2 Mn 2.14
Mn 0.4333 0.3115 0.7449  2 Mn 2.14
Mn 0.4556 0.6896 0.5000  4 P 2.24-2.33, 1 Mn 2.51
Mn 0.5000 0.0000 0.5000  4 P 2.33, 8 Mn 2.42-2.51
Mn 0.5444 0.3104 0.5000  4 P 2.24-2.33, 1 Mn 2.51
Mn 0.5667 0.6885 0.2551  2 Mn 2.14
Mn 0.6885 0.4333 0.1218  2 Mn 2.14
Mn 0.6896 0.1896 0.2340  4 P 2.24-2.33, 1 Mn 2.51
Mn 0.8104 0.0444 0.5000  4 P 2.24-2.33, 1 Mn 2.51
Mn 0.8115 0.9333 0.7449  2 Mn 2.14
Mn 0.9333 0.1885 0.1218  2 Mn 2.14
Mn 0.9556 0.4556 0.7660  4 P 2.24-2.33, 1 Mn 2.51
P 0.0337 0.2054 0.5000  5 Mn 2.24-2.33
P 0.2054 0.7054 0.1717  5 Mn 2.24-2.33
P 0.2946 0.4663 0.5000  5 Mn 2.24-2.33
P 0.4663 0.9663 0.1717  5 Mn 2.24-2.33
P 0.5337 0.0337 0.8283  5 Mn 2.24-2.33
P 0.7054 0.5337 0.5000  5 Mn 2.24-2.33
P 0.7946 0.2946 0.8283  5 Mn 2.24-2.33
P 0.9663 0.7946 0.5000  5 Mn 2.24-2.33

Properties
Its density of states at the Fermi level is 0.892 states/eV/atom. As for the size of the total moment: 3.31 μB per cell. The calculation puts the calculated formation energy at -0.45 eV per atom.

[7]
Entry from Alexandria via LeMat-Bulk: a relaxed P6PtPb crystal (GGA-PBE).

Unit cell a=5.5929 b=5.5929 c=5.5929 alpha=105.93 beta=105.93 gamma=105.93
Closest atoms and distances in Å follow each position.
Positions (direct):
P 0.1861 0.1861 0.6428  1 P 2.28
P 0.1861 0.6428 0.1861  1 P 2.28
P 0.3572 0.8139 0.8139  1 P 2.28
P 0.6428 0.1861 0.1861  1 P 2.28
P 0.8139 0.3572 0.8139  1 P 2.28
P 0.8139 0.8139 0.3572  1 P 2.28
Pt 0.5000 0.5000 0.5000  6 P 2.58
Pb 0.0000 0.0000 0.0000  6 P 2.80

Properties
Its density of states at the Fermi level is 0.199 states/eV/atom. As for the size of the total moment: 0.00 μB per cell. The calculation puts the calculated formation energy at 0.44 eV per atom.

[8]
Entry from Alexandria via LeMat-Bulk: a relaxed SrIn crystal (GGA-PBE).

Unit cell a=6.6694 b=6.6694 c=5.9232 alpha=108.78 beta=108.78 gamma=33.46
Closest atoms and distances in Å follow each position.
Positions (direct):
Sr 0.1015 0.1015 0.3273  7 In 3.55-3.63, 4 Sr 3.80-3.87
Sr 0.8985 0.8985 0.6727  7 In 3.55-3.63, 4 Sr 3.80-3.87
In 0.3450 0.3450 0.1409  2 In 3.10
In 0.6550 0.6550 0.8591  2 In 3.10

Properties
Its density of states at the Fermi level is 0.631 states/eV/atom. As for the size of the total moment: 0.00 μB per cell. The calculation puts the calculated formation energy at -0.36 eV per atom.

[9]
Entry from Alexandria via LeMat-Bulk: a relaxed Pm3Y3Ho crystal (GGA-PBE).

Unit cell a=14.8362 b=14.8362 c=14.8362 alpha=24.31 beta=24.31 gamma=24.31
Closest atoms and distances in Å follow each position.
Positions (direct):
Pm 0.1318 0.4624 0.8006  3 Y 3.55-3.56, 9 Pm 3.58-3.68
Pm 0.1994 0.8682 0.5376  3 Y 3.55-3.56, 9 Pm 3.58-3.68
Pm 0.4624 0.8006 0.1318  3 Y 3.55-3.56, 9 Pm 3.58-3.68
Pm 0.5376 0.1994 0.8682  3 Y 3.55-3.56, 9 Pm 3.58-3.68
Pm 0.8006 0.1318 0.4624  3 Y 3.55-3.56, 9 Pm 3.58-3.68
Pm 0.8682 0.5376 0.1994  3 Y 3.55-3.56, 9 Pm 3.58-3.68
Y 0.0649 0.7316 0.3982  2 Ho 3.49, 3 Pm 3.55-3.56, 6 Y 3.61
Y 0.2684 0.6018 0.9351  2 Ho 3.49, 3 Pm 3.55-3.56, 6 Y 3.61
Y 0.3982 0.0649 0.7316  2 Ho 3.49, 3 Pm 3.55-3.56, 6 Y 3.61
Y 0.6018 0.9351 0.2684  2 Ho 3.49, 3 Pm 3.55-3.56, 6 Y 3.61
Y 0.7316 0.3982 0.0649  2 Ho 3.49, 3 Pm 3.55-3.56, 6 Y 3.61
Y 0.9351 0.2684 0.6018  2 Ho 3.49, 3 Pm 3.55-3.56, 6 Y 3.61
Ho 0.3333 0.3333 0.3333  6 Y 3.49, 3 Ho 3.61
Ho 0.6667 0.6667 0.6667  6 Y 3.49, 3 Ho 3.61

Properties
Its density of states at the Fermi level is 1.580 states/eV/atom. As for the size of the total moment: 0.00 μB per cell. The calculation puts the calculated formation energy at 0.16 eV per atom. For the energy relative to the lowest polymorph listed for this composition, the calculation gives 147 meV per atom.

[10]
Entry from Alexandria via LeMat-Bulk: a relaxed Pb3Se crystal (GGA-PBE).

Unit cell a=6.8430 b=6.8430 c=5.9475 alpha=90.00 beta=90.00 gamma=63.44
Closest atoms and distances in Å follow each position.
Positions (direct):
Pb 0.1012 0.3231 0.7500  1 Se 2.95
Pb 0.2450 0.7550 0.7500  3 Se 3.03-3.04
Pb 0.3231 0.1012 0.2500  1 Se 2.95
Pb 0.6769 0.8988 0.7500  1 Se 2.95
Pb 0.7550 0.2450 0.2500  3 Se 3.03-3.04
Pb 0.8988 0.6769 0.2500  1 Se 2.95
Se 0.3338 0.6662 0.2500  5 Pb 2.95-3.04
Se 0.6662 0.3338 0.7500  5 Pb 2.95-3.04

Properties
Its density of states at the Fermi level is 0.261 states/eV/atom. As for the size of the total moment: 0.00 μB per cell. The value obtained for the uncorrected formation energy is -0.14 eV/atom.

[11]
Entry from Alexandria via LeMat-Bulk: a relaxed ZnAg2Ru crystal (GGA-PBE).

Unit cell a=2.7227 b=4.2270 c=5.7336 alpha=90.00 beta=103.34 gamma=90.00
Closest atoms and distances in Å follow each position.
Positions (direct):
Zn 0.0000 0.0000 0.0000  3 Ag 2.60-2.66, 4 Ru 2.70-2.71, 2 Zn 2.72
Ag 0.1536 0.5000 0.2909  2 Zn 2.66, 6 Ag 2.72-2.86, 3 Ru 2.93-2.96
Ag 0.7731 0.0000 0.5342  1 Zn 2.60, 6 Ag 2.72-2.86
Ru 0.4160 0.5000 0.8223  4 Zn 2.70-2.71, 2 Ru 2.72, 7 Ag 2.93-2.99

Properties
Its density of states at the Fermi level is 0.610 states/eV/atom. As for the size of the total moment: 0.00 μB per cell. The calculation puts the calculated formation energy at 0.26 eV per atom.

[12]
Entry from Alexandria via LeMat-Bulk: a relaxed LaPm4Tl3 crystal (GGA-PBE).

Unit cell a=9.9712 b=9.9712 c=9.9712 alpha=32.07 beta=32.07 gamma=32.07
Closest atoms and distances in Å follow each position.
Positions (direct):
La 0.0000 0.0000 0.0000  8 Pm 3.55-3.75, 6 Tl 3.73
Pm 0.1323 0.1323 0.1323  6 Tl 3.33-3.65
Pm 0.3891 0.3891 0.3891  4 Tl 3.14-3.20
Pm 0.6109 0.6109 0.6109  4 Tl 3.14-3.20
Pm 0.8677 0.8677 0.8677  6 Tl 3.33-3.65
Tl 0.2643 0.2643 0.2643  4 Pm 3.20-3.54
Tl 0.5000 0.5000 0.5000  8 Pm 3.14-3.33
Tl 0.7357 0.7357 0.7357  4 Pm 3.20-3.54

Properties
Its density of states at the Fermi level is 1.357 states/eV/atom. As for the size of the total moment: 2.01 μB per cell. The calculation puts the calculated formation energy at -0.25 eV per atom.